Entry 1:
The following is a DFT calculation (PBE) of UGeIrN after structural relaxation.

```
data_UGeIrN
_cell_length_a 4.0353
_cell_length_b 4.0353
_cell_length_c 7.8262
_cell_angle_alpha 90.00
_cell_angle_beta 90.00
_cell_angle_gamma 90.00
_space_group_name_H-M_alt 'P 1'
_space_group_IT_number 1
_space_group_name_Hall 'P 1'
loop_
_atom_site_label
_atom_site_type_symbol
_atom_site_fract_x
_atom_site_fract_y
_atom_site_fract_z
U1 U 0.2500 0.2500 0.1367
U2 U 0.7500 0.7500 0.8633
Ge1 Ge 0.2500 0.2500 0.6809
Ge2 Ge 0.7500 0.7500 0.3191
Ir1 Ir 0.2500 0.7500 0.5000
Ir2 Ir 0.7500 0.2500 0.5000
N1 N 0.2500 0.7500 0.0000
N2 N 0.7500 0.2500 0.0000
```

Properties
SG: P4/nmm
Formation energy without anion corrections: -890 meV per atom
Total energy: -9.163 eV/atom
Volume: 15.9 A^3/atom
M_tot: 2.89 μB per cell

---

Entry 2:
The following is a DFT calculation (PBE) of PmNdCu3 after structural relaxation.

```
data_PmNdCu3
_cell_length_a 13.1630
_cell_length_b 13.1630
_cell_length_c 4.3402
_cell_angle_alpha 90.00
_cell_angle_beta 90.00
_cell_angle_gamma 163.49
_space_group_name_H-M_alt 'P 1'
_space_group_IT_number 1
_space_group_name_Hall 'P 1'
loop_
_atom_site_label
_atom_site_type_symbol
_atom_site_fract_x
_atom_site_fract_y
_atom_site_fract_z
Pm1 Pm 0.2029 0.7971 0.7500
Pm2 Pm 0.7971 0.2029 0.2500
Nd1 Nd 0.0703 0.9297 0.2500
Nd2 Nd 0.9297 0.0703 0.7500
Cu1 Cu 0.3312 0.6688 0.7500
Cu2 Cu 0.3827 0.6173 0.2500
Cu3 Cu 0.4771 0.5229 0.2500
Cu4 Cu 0.5229 0.4771 0.7500
Cu5 Cu 0.6173 0.3827 0.7500
Cu6 Cu 0.6688 0.3312 0.2500
```

Properties
SG: Cmcm
Total energy: -4.561 eV/atom
Volume: 21.4 A^3/atom
Calculated formation energy: -199 meV/atom
M_tot: 0.00 μB per cell

---

Entry 3:
The following is a DFT calculation (PBE) of DyThNiRh after structural relaxation.

```
data_DyThNiRh
_cell_length_a 4.9316
_cell_length_b 4.9316
_cell_length_c 4.9316
_cell_angle_alpha 60.00
_cell_angle_beta 60.00
_cell_angle_gamma 60.00
_space_group_name_H-M_alt 'P 1'
_space_group_IT_number 1
_space_group_name_Hall 'P 1'
loop_
_atom_site_label
_atom_site_type_symbol
_atom_site_fract_x
_atom_site_fract_y
_atom_site_fract_z
Dy1 Dy 0.0000 0.0000 0.0000
Th1 Th 0.5000 0.5000 0.5000
Ni1 Ni 0.7500 0.7500 0.7500
Rh1 Rh 0.2500 0.2500 0.2500
```

Properties
SG: F-43m
Total energy: -6.848 eV/atom
Volume: 21.2 A^3/atom
Energy relative to the lowest polymorph listed for this composition: 0.49 eV per formula unit
Calculated formation energy: -560 meV/atom
M_tot: 0.00 μB per cell

---

Entry 4:
The following is a DFT calculation (PBE) of TbDy4Ga4 after structural relaxation.

```
data_TbDy4Ga4
_cell_length_a 7.4568
_cell_length_b 7.4568
_cell_length_c 7.4568
_cell_angle_alpha 95.81
_cell_angle_beta 95.81
_cell_angle_gamma 142.88
_space_group_name_H-M_alt 'P 1'
_space_group_IT_number 1
_space_group_name_Hall 'P 1'
loop_
_atom_site_label
_atom_site_type_symbol
_atom_site_fract_x
_atom_site_fract_y
_atom_site_fract_z
Tb1 Tb 0.0000 0.0000 0.0000
Dy1 Dy 0.1297 0.6434 0.7730
Dy2 Dy 0.3566 0.1297 0.4863
Dy3 Dy 0.6434 0.8703 0.5137
Dy4 Dy 0.8703 0.3566 0.2270
Ga1 Ga 0.3265 0.4272 0.7537
Ga2 Ga 0.4272 0.6735 0.1007
Ga3 Ga 0.5728 0.3265 0.8993
Ga4 Ga 0.6735 0.5728 0.2463
```

Properties
SG: I4/m
Total energy: -4.305 eV/atom
Volume: 26.4 A^3/atom
Calculated formation energy: -400 meV/atom
M_tot: 0.00 μB per cell

---

Entry 5:
The following is a DFT calculation (PBE) of Ti3AsW after structural relaxation.

```
data_Ti3AsW
_cell_length_a 4.7692
_cell_length_b 4.7692
_cell_length_c 4.7692
_cell_angle_alpha 90.00
_cell_angle_beta 90.00
_cell_angle_gamma 90.00
_space_group_name_H-M_alt 'P 1'
_space_group_IT_number 1
_space_group_name_Hall 'P 1'
loop_
_atom_site_label
_atom_site_type_symbol
_atom_site_fract_x
_atom_site_fract_y
_atom_site_fract_z
Ti1 Ti 0.0000 0.0000 0.5000
Ti2 Ti 0.0000 0.5000 0.0000
Ti3 Ti 0.5000 0.0000 0.0000
As1 As 0.5000 0.5000 0.5000
W1 W 0.0000 0.0000 0.0000
```

Properties
SG: Pm-3m
Total energy: -7.399 eV/atom
Volume: 21.7 A^3/atom
Energy relative to the lowest polymorph listed for this composition: 1.53 eV per formula unit
Calculated formation energy: 859 meV/atom
M_tot: 2.15 μB per cell